Entry 1:
! K2Ce3S6, relaxed, DFT PBE; values from VASP
! Space-group type: No. 12
! ρ (kg/m³): 3409
! Raw formation energy (eV per atom): -1.823
! N(E_F) (states/eV per cell): 13.8
! Calculated volume (A^3/atom): 30.59
&SYSTEM
  ibrav = 0, nat = 11, ntyp = 3
/
ATOMIC_SPECIES
K 39.10 K.upf
Ce 140.12 Ce.upf
S 32.06 S.upf
CELL_PARAMETERS angstrom
3.615 -6.259 0.000
3.615 6.259 0.000
-2.401 0.000 7.437
ATOMIC_POSITIONS crystal
K 0.167 0.833 0.000
K 0.833 0.167 0.000
Ce 0.000 0.000 0.500
Ce 0.334 0.666 0.500
Ce 0.666 0.334 0.500
S 0.061 0.398 0.696
S 0.264 0.264 0.303
S 0.398 0.061 0.696
S 0.602 0.939 0.304
S 0.736 0.736 0.697
S 0.939 0.602 0.304

=====

Entry 2:
! LiTmTiAl, relaxed, DFT PBE; values from VASP
! Space-group type: No. 216
! Calculated formation energy (kJ per mole of atoms): -4.4
! ρ (kg/m³): 5367
! N(E_F) (states/eV per cell): 12.4
! Calculated volume (A^3/atom): 19.39
&SYSTEM
  ibrav = 0, nat = 16, ntyp = 4
/
ATOMIC_SPECIES
Li 6.94 Li.upf
Tm 168.93 Tm.upf
Ti 47.87 Ti.upf
Al 26.98 Al.upf
CELL_PARAMETERS angstrom
6.770 0.000 0.000
0.000 6.770 0.000
0.000 0.000 6.770
ATOMIC_POSITIONS crystal
Li 0.000 0.000 0.000
Li 0.000 0.500 0.500
Li 0.500 0.000 0.500
Li 0.500 0.500 0.000
Tm 0.250 0.250 0.250
Tm 0.250 0.750 0.750
Tm 0.750 0.250 0.750
Tm 0.750 0.750 0.250
Ti 0.250 0.250 0.750
Ti 0.250 0.750 0.250
Ti 0.750 0.250 0.250
Ti 0.750 0.750 0.750
Al 0.000 0.000 0.500
Al 0.000 0.500 0.000
Al 0.500 0.000 0.000
Al 0.500 0.500 0.500

=====

Entry 3:
! Pr4TlBi3, relaxed, DFT PBE; values from VASP
! Space-group type: No. 221
! Calculated formation energy (kJ per mole of atoms): -71.8
! ρ (kg/m³): 8265
! N(E_F) (states/eV per cell): 4.6
! Calculated volume (A^3/atom): 35.03
&SYSTEM
  ibrav = 0, nat = 8, ntyp = 3
/
ATOMIC_SPECIES
Pr 140.91 Pr.upf
Tl 204.38 Tl.upf
Bi 208.98 Bi.upf
CELL_PARAMETERS angstrom
6.544 0.000 0.000
0.000 6.544 0.000
0.000 0.000 6.544
ATOMIC_POSITIONS crystal
Pr 0.000 0.000 0.000
Pr 0.000 0.500 0.500
Pr 0.500 0.000 0.500
Pr 0.500 0.500 0.000
Tl 0.500 0.500 0.500
Bi 0.000 0.000 0.500
Bi 0.000 0.500 0.000
Bi 0.500 0.000 0.000

=====

Entry 4:
! La3TlBr, relaxed, DFT PBE; values from VASP
! Space-group type: No. 62
! Polymorph energy (0 for the lowest one) (kcal/mol of atoms): 0.00
! ρ (kg/m³): 7008
! Raw formation energy (eV per atom): -0.666
! N(E_F) (states/eV per cell): 22.1
! Calculated volume (A^3/atom): 33.22
&SYSTEM
  ibrav = 0, nat = 20, ntyp = 3
/
ATOMIC_SPECIES
La 138.91 La.upf
Tl 204.38 Tl.upf
Br 79.90 Br.upf
CELL_PARAMETERS angstrom
9.684 0.000 0.000
0.000 4.164 0.000
0.000 0.000 16.476
ATOMIC_POSITIONS crystal
La 0.033 0.250 0.107
La 0.148 0.250 0.538
La 0.169 0.750 0.285
La 0.331 0.250 0.785
La 0.352 0.750 0.038
La 0.467 0.750 0.607
La 0.533 0.250 0.393
La 0.648 0.250 0.962
La 0.669 0.750 0.215
La 0.831 0.250 0.715
La 0.852 0.750 0.462
La 0.967 0.750 0.893
Tl 0.105 0.750 0.696
Tl 0.395 0.250 0.196
Tl 0.605 0.750 0.804
Tl 0.895 0.250 0.304
Br 0.185 0.250 0.944
Br 0.315 0.750 0.444
Br 0.685 0.250 0.556
Br 0.815 0.750 0.056